Density functional theory data (GGA-PBEsol) for a relaxed Tl2HgOs crystal.

Computed properties:
- ΔE_f: 0.88 eV per atom
- Symmetry: Pmmm, No. 47
- Total magnetic moment: 0.005 μB/cell

```
data_Tl2HgOs
_cell_length_a 3.194
_cell_length_b 4.905
_cell_length_c 5.225
_cell_angle_alpha 90.00
_cell_angle_beta 90.00
_cell_angle_gamma 90.00
_symmetry_space_group_name_H-M 'P 1'
_symmetry_Int_Tables_number 1
loop_
_symmetry_equiv_pos_as_xyz
'x,y,z'
loop_
_atom_site_label
_atom_site_type_symbol
_atom_site_fract_x
_atom_site_fract_y
_atom_site_fract_z
_atom_site_occupancy
Tl1 Tl 0.000 0.000 0.000 1
Tl2 Tl 0.500 0.000 0.500 1
Hg1 Hg 0.000 0.500 0.500 1
Os1 Os 0.500 0.500 0.000 1
```


Density functional theory data (GGA-PBEsol) for a relaxed Ca3ReAg crystal.

Computed properties:
- ΔE_f: 0.82 eV per atom
- Symmetry: Pm-3m, No. 221
- Total magnetic moment: 0.010 μB/cell

```
data_Ca3ReAg
_cell_length_a 5.371
_cell_length_b 5.371
_cell_length_c 5.371
_cell_angle_alpha 90.00
_cell_angle_beta 90.00
_cell_angle_gamma 90.00
_symmetry_space_group_name_H-M 'P 1'
_symmetry_Int_Tables_number 1
loop_
_symmetry_equiv_pos_as_xyz
'x,y,z'
loop_
_atom_site_label
_atom_site_type_symbol
_atom_site_fract_x
_atom_site_fract_y
_atom_site_fract_z
_atom_site_occupancy
Ca1 Ca 0.000 0.000 0.500 1
Ca2 Ca 0.000 0.500 0.000 1
Ca3 Ca 0.500 0.000 0.000 1
Re1 Re 0.000 0.000 0.000 1
Ag1 Ag 0.500 0.500 0.500 1
```


Density functional theory data (GGA-PBEsol) for a relaxed InFe3Ru crystal.

Computed properties:
- ΔE_f: 2.17 eV per atom
- Symmetry: Pm-3m, No. 221
- Total magnetic moment: 10.310 μB/cell

```
data_InFe3Ru
_cell_length_a 4.571
_cell_length_b 4.571
_cell_length_c 4.571
_cell_angle_alpha 90.00
_cell_angle_beta 90.00
_cell_angle_gamma 90.00
_symmetry_space_group_name_H-M 'P 1'
_symmetry_Int_Tables_number 1
loop_
_symmetry_equiv_pos_as_xyz
'x,y,z'
loop_
_atom_site_label
_atom_site_type_symbol
_atom_site_fract_x
_atom_site_fract_y
_atom_site_fract_z
_atom_site_occupancy
In1 In 0.000 0.000 0.000 1
Fe1 Fe 0.000 0.000 0.500 1
Fe2 Fe 0.000 0.500 0.000 1
Fe3 Fe 0.500 0.000 0.000 1
Ru1 Ru 0.500 0.500 0.500 1
```


Density functional theory data (GGA-PBEsol) for a relaxed Mg2TlAg2 crystal.

Computed properties:
- ΔE_f: -0.12 eV per atom
- Symmetry: P4/mbm, No. 127
- Total magnetic moment: 0.000 μB/cell

```
data_Mg2TlAg2
_cell_length_a 7.620
_cell_length_b 7.620
_cell_length_c 3.437
_cell_angle_alpha 90.00
_cell_angle_beta 90.00
_cell_angle_gamma 90.00
_symmetry_space_group_name_H-M 'P 1'
_symmetry_Int_Tables_number 1
loop_
_symmetry_equiv_pos_as_xyz
'x,y,z'
loop_
_atom_site_label
_atom_site_type_symbol
_atom_site_fract_x
_atom_site_fract_y
_atom_site_fract_z
_atom_site_occupancy
Mg1 Mg 0.162 0.338 0.000 1
Mg2 Mg 0.338 0.838 0.000 1
Mg3 Mg 0.662 0.162 0.000 1
Mg4 Mg 0.838 0.662 0.000 1
Tl1 Tl 0.000 0.000 0.500 1
Tl2 Tl 0.500 0.500 0.500 1
Ag1 Ag 0.132 0.632 0.500 1
Ag2 Ag 0.368 0.132 0.500 1
Ag3 Ag 0.632 0.868 0.500 1
Ag4 Ag 0.868 0.368 0.500 1
```